This record from Alexandria via LeMat-Bulk describes a relaxed SbTe2Br crystal. The functional is PBE.

uncorrected energy: -22.77 eV for the cell shown
energy relative to the lowest polymorph listed for this composition: 350 meV per atom
energy relative to the elements, uncorrected: 0.69 eV per formula unit
magnetization: 0.00 μB/cell

Unit cell a=5.9262 b=12.5267 c=3.2279 alpha=90.00 beta=101.89 gamma=90.00
Closest atoms and distances in Å follow each position.
Space group C2/m (No. 12)
Asymmetric unit:
1 Sb 0.0000 0.0000 0.0000 (multiplicity 2)  2 Br 2.96, 2 Sb 3.23
2 Te 0.2500 0.2500 0.5000 (multiplicity 4)  4 Te 2.96-3.23
3 Br 0.0000 0.5000 0.0000 (multiplicity 2)  2 Sb 2.96, 2 Br 3.23

This record from Alexandria via LeMat-Bulk describes a relaxed Sm2DyTm2 crystal. The functional is PBE.

uncorrected energy: -45.90 eV for the cell shown
energy of formation: 7 meV per atom
energy relative to the lowest polymorph listed for this composition: 0 meV per atom
magnetization: 0.00 μB/cell

Unit cell a=6.1762 b=3.5700 c=14.5312 alpha=90.00 beta=98.20 gamma=90.00
Closest atoms and distances in Å follow each position.
Space group C2/m (No. 12)
Asymmetric unit:
1 Sm 0.1322 0.0000 0.3948 (multiplicity 4)  3 Tm 3.53, 9 Sm 3.57-3.67
2 Dy 0.0000 0.0000 0.0000 (multiplicity 2)  6 Tm 3.49, 6 Dy 3.57
3 Tm 0.1010 0.5000 0.8042 (multiplicity 4)  3 Dy 3.49, 3 Sm 3.53, 6 Tm 3.57